# PBE Zn2Hg, relaxed
# SG: P-62m (189)
# Energy relative to the elements: 12.5 kJ/mol of atoms
# Raw total energy: -0.813 eV per atom
# Crystal system: hexagonal
data_Zn2Hg
_chemical_formula_sum 'Zn4 Hg2'
_cell_length_a 5.368
_cell_length_b 5.368
_cell_length_c 4.383
_cell_angle_alpha 90.00
_cell_angle_beta 90.00
_cell_angle_gamma 120.00
_space_group_name_H-M_alt 'P 1'
_space_group_IT_number 1
loop_
_space_group_symop_operation_xyz
'x,y,z'
loop_
_atom_site_label
_atom_site_fract_x
_atom_site_fract_y
_atom_site_fract_z
Zn1 0.000 0.000 0.000
Zn2 0.000 0.306 0.500
Zn3 0.306 0.000 0.500
Zn4 0.694 0.694 0.500
Hg1 0.333 0.667 0.000
Hg2 0.667 0.333 0.000

***

# PBE Gd2AlTlZn2, relaxed
# SG: P3m1 (156)
# Raw total energy: -3.400 eV per atom
# Spin magnetization: 0.01 μB per formula unit
# Crystal system: trigonal
data_Gd2AlTlZn2
_chemical_formula_sum 'Gd2 Al1 Tl1 Zn2'
_cell_length_a 4.604
_cell_length_b 4.604
_cell_length_c 7.335
_cell_angle_alpha 90.00
_cell_angle_beta 90.00
_cell_angle_gamma 120.00
_space_group_name_H-M_alt 'P 1'
_space_group_IT_number 1
loop_
_space_group_symop_operation_xyz
'x,y,z'
loop_
_atom_site_label
_atom_site_fract_x
_atom_site_fract_y
_atom_site_fract_z
Gd1 0.000 0.000 0.000
Gd2 0.000 0.000 0.488
Al1 0.333 0.667 0.218
Tl1 0.667 0.333 0.714
Zn1 0.333 0.667 0.810
Zn2 0.667 0.333 0.276

***

# PBE LaB4Mo, relaxed
# SG: P6/mmm (191)
# ΔE to the lowest computed polymorph: 0.0 meV per atom
# Raw total energy: -7.456 eV per atom
# Spin magnetization: 0.01 μB per formula unit
# Crystal system: hexagonal
data_LaB4Mo
_chemical_formula_sum 'La1 B4 Mo1'
_cell_length_a 3.127
_cell_length_b 3.127
_cell_length_c 7.665
_cell_angle_alpha 90.00
_cell_angle_beta 90.00
_cell_angle_gamma 120.00
_space_group_name_H-M_alt 'P 1'
_space_group_IT_number 1
loop_
_space_group_symop_operation_xyz
'x,y,z'
loop_
_atom_site_label
_atom_site_fract_x
_atom_site_fract_y
_atom_site_fract_z
La1 0.000 0.000 0.000
B1 0.333 0.667 0.290
B2 0.333 0.667 0.710
B3 0.667 0.333 0.290
B4 0.667 0.333 0.710
Mo1 0.000 0.000 0.500